DFT (meta-GGA SCAN) results for a PBEsol-optimized structure of Sr4Al6MoO16.

Cell lengths 8.204, 8.204, 8.204 Å; angles 71.67, 69.96, 110.04 degrees
Fractional coordinates of all 27 atoms:
Sr: 0.983 0.991 0.509
Sr: 0.500 0.509 0.509
Sr: 0.017 0.509 0.991
Sr: 0.500 0.991 0.991
Al: 0.748 0.496 0.756
Al: 0.500 0.250 0.250
Al: 0.748 0.252 0.496
Al: 0.500 0.750 0.750
Al: 0.252 0.496 0.252
Al: 0.252 0.756 0.496
Mo: 0.000 0.000 0.000
O: 0.334 0.333 0.333
O: 0.655 0.003 0.652
O: 0.000 0.663 0.663
O: 0.655 0.652 0.693
O: 0.666 0.333 0.333
O: 0.325 0.663 0.337
O: 0.666 0.333 0.001
O: 0.345 0.693 0.652
O: 0.000 0.337 0.337
O: 0.345 0.652 0.003
O: 0.334 0.001 0.333
O: 0.675 0.337 0.663
O: 0.847 0.892 0.261
O: 0.153 0.261 0.892
O: 0.153 0.892 0.955
O: 0.847 0.955 0.892

The value obtained for the theoretical density is 3.4 g cm⁻³. Its symmetry is I-4m2 (119). The formation energy from raw total energies comes out at -311.6 kJ/mol of atoms. The calculation puts the density of states at the Fermi level at 0.0 states/eV/cell. As for the spin magnetization: 0.00 μB/cell. The calculation puts the total energy at -357.40 eV for the cell shown.

DFT (meta-GGA SCAN) results for a PBEsol-optimized structure of AlMo2Os.

Cell lengths 2.792, 2.792, 7.561 Å; angles 90.00, 90.00, 90.00 degrees
Fractional coordinates of all 4 atoms:
Mo: 0.000 0.000 0.755
Mo: 0.000 0.000 0.245
Os: 0.500 0.500 0.000
Al: 0.500 0.500 0.500

The value obtained for the theoretical density is 11.5 g cm⁻³. Its symmetry is P4/mmm (123). The calculation puts the density of states at the Fermi level at 1.9 states/eV/cell. As for the spin magnetization: 0.00 μB/cell. The calculation puts the total energy at -149.90 eV for the cell shown. Its formation enthalpy at 0 K is -12.0 kJ/mol of atoms.

DFT (meta-GGA SCAN) results for a PBEsol-optimized structure of AlMo2Os.

Cell lengths 2.763, 4.662, 4.828 Å; angles 96.26, 90.00, 107.24 degrees
Fractional coordinates of all 4 atoms:
Mo: 0.996 0.993 0.992
Mo: 0.757 0.514 0.258
Os: 0.502 0.004 0.502
Al: 0.245 0.490 0.748

The value obtained for the theoretical density is 11.5 g cm⁻³. Its symmetry is Cm (8). The calculation puts the density of states at the Fermi level at 2.2 states/eV/cell. As for the spin magnetization: 0.00 μB/cell. The calculation puts the total energy at -149.52 eV for the cell shown. Its formation enthalpy at 0 K is -2.8 kJ/mol of atoms.